Record 1
This record from Alexandria describes a geometry-optimized LiSbAs2P structure. The functional is GGA-PBE. Values from VASP.

* E: -3.706 eV/atom
* magnetization: 0.00 μB/cell
* mass density: 4.163 g cm⁻³
* space group: P4/mmm
* V: 123.5 Å³ per cell
* raw formation energy: 0.44 eV per atom

```
&SYSTEM
  ibrav = 0, nat = 5, ntyp = 4
/
ATOMIC_SPECIES
Sb 121.76 Sb.upf
As 74.92 As.upf
Li 6.94 Li.upf
P 30.97 P.upf
CELL_PARAMETERS angstrom
4.828 0.000 0.000
0.000 5.295 0.000
0.000 0.000 4.828
ATOMIC_POSITIONS crystal
Sb 0.000 0.500 0.000
As 0.000 0.000 0.500
As 0.500 0.000 0.000
Li 0.500 0.500 0.500
P 0.000 0.000 0.000
```


Record 2
This record from Alexandria describes a geometry-optimized LiAs2PSe structure. The functional is GGA-PBE. Values from VASP.

* E: -3.282 eV/atom
* magnetization: 0.00 μB/cell
* excess energy over the best structure of this formula in the dataset: 393.6 meV per atom
* mass density: 4.669 g cm⁻³
* space group: P4/mmm
* V: 94.9 Å³ per cell
* raw formation energy: 0.74 eV per atom

```
&SYSTEM
  ibrav = 0, nat = 5, ntyp = 4
/
ATOMIC_SPECIES
P 30.97 P.upf
As 74.92 As.upf
Se 78.96 Se.upf
Li 6.94 Li.upf
CELL_PARAMETERS angstrom
4.490 0.000 0.000
0.000 4.490 0.000
0.000 0.000 4.705
ATOMIC_POSITIONS crystal
P 0.500 0.500 0.500
As 0.000 0.500 0.000
As 0.500 0.000 0.000
Se 0.000 0.000 0.500
Li 0.000 0.000 0.000
```


Record 3
This record from Alexandria describes a geometry-optimized LiAs2PSe structure. The functional is GGA-PBE. Values from VASP.

* E: -3.676 eV/atom
* magnetization: 0.00 μB/cell
* excess energy over the best structure of this formula in the dataset: 0.0 meV per atom
* mass density: 3.849 g cm⁻³
* space group: P4/mmm
* V: 115.1 Å³ per cell
* raw formation energy: 0.35 eV per atom

```
&SYSTEM
  ibrav = 0, nat = 5, ntyp = 4
/
ATOMIC_SPECIES
P 30.97 P.upf
As 74.92 As.upf
Se 78.96 Se.upf
Li 6.94 Li.upf
CELL_PARAMETERS angstrom
4.740 0.000 0.000
0.000 4.740 0.000
0.000 0.000 5.120
ATOMIC_POSITIONS crystal
P 0.000 0.000 0.000
As 0.000 0.500 0.000
As 0.500 0.000 0.000
Se 0.000 0.000 0.500
Li 0.500 0.500 0.500
```


Record 4
This record from Alexandria describes a geometry-optimized LiTc2AsP structure. The functional is GGA-PBE. Values from VASP.

* E: -5.493 eV/atom
* calculated formation energy: 506 kJ/mol of formula units
* magnetization: 0.00 μB/cell
* excess energy over the best structure of this formula in the dataset: 0.0 meV per atom
* mass density: 7.235 g cm⁻³
* space group: P4/mmm
* V: 70.9 Å³ per cell

```
&SYSTEM
  ibrav = 0, nat = 5, ntyp = 4
/
ATOMIC_SPECIES
P 30.97 P.upf
As 74.92 As.upf
Tc 98.00 Tc.upf
Li 6.94 Li.upf
CELL_PARAMETERS angstrom
-4.286 -0.653 -0.119
0.496 -2.806 -2.465
0.339 -2.820 3.278
ATOMIC_POSITIONS crystal
P 0.500 0.500 0.500
As 0.000 0.500 0.000
Tc 0.000 0.000 0.500
Tc 0.500 0.000 0.000
Li 0.000 0.000 0.000
```


Record 5
This record from Alexandria describes a geometry-optimized LiTc2AsP structure. The functional is GGA-PBE. Values from VASP.

* E: -5.431 eV/atom
* calculated formation energy: 536 kJ/mol of formula units
* magnetization: 3.46 μB/cell
* excess energy over the best structure of this formula in the dataset: 62.0 meV per atom
* mass density: 4.874 g cm⁻³
* space group: P4/mmm
* V: 105.2 Å³ per cell

```
&SYSTEM
  ibrav = 0, nat = 5, ntyp = 4
/
ATOMIC_SPECIES
P 30.97 P.upf
As 74.92 As.upf
Tc 98.00 Tc.upf
Li 6.94 Li.upf
CELL_PARAMETERS angstrom
-1.464 3.033 -3.210
2.552 -2.362 -3.396
-3.679 -2.708 -0.882
ATOMIC_POSITIONS crystal
P 0.000 0.500 0.000
As 0.000 0.000 0.000
Tc 0.000 0.000 0.500
Tc 0.500 0.000 0.000
Li 0.500 0.500 0.500
```


Record 6
This record from Alexandria describes a geometry-optimized Li2VAsP structure. The functional is GGA-PBE. Values from VASP.

* E: -4.363 eV/atom
* calculated formation energy: 115 kJ/mol of formula units
* magnetization: 0.05 μB/cell
* mass density: 3.117 g cm⁻³
* space group: P4/mmm
* V: 91.0 Å³ per cell

```
&SYSTEM
  ibrav = 0, nat = 5, ntyp = 4
/
ATOMIC_SPECIES
P 30.97 P.upf
As 74.92 As.upf
Li 6.94 Li.upf
V 50.94 V.upf
CELL_PARAMETERS angstrom
-3.434 2.660 -0.818
-2.351 -1.956 3.509
1.662 3.002 2.787
ATOMIC_POSITIONS crystal
P 0.500 0.500 0.500
As 0.000 0.000 0.000
Li 0.000 0.000 0.500
Li 0.500 0.000 0.000
V 0.000 0.500 0.000
```


Record 7
This record from Alexandria describes a geometry-optimized LiZn2AsP structure. The functional is GGA-PBE. Values from VASP.

* E: -2.544 eV/atom
* calculated formation energy: 174 kJ/mol of formula units
* magnetization: 1.09 μB/cell
* excess energy over the best structure of this formula in the dataset: 73.0 meV per atom
* mass density: 3.793 g cm⁻³
* space group: P4/mmm
* V: 106.7 Å³ per cell

```
&SYSTEM
  ibrav = 0, nat = 5, ntyp = 4
/
ATOMIC_SPECIES
P 30.97 P.upf
As 74.92 As.upf
Zn 65.41 Zn.upf
Li 6.94 Li.upf
CELL_PARAMETERS angstrom
-2.479 1.647 3.717
-1.582 -4.344 0.870
3.737 -0.792 2.843
ATOMIC_POSITIONS crystal
P 0.500 0.500 0.500
As 0.000 0.000 0.000
Zn 0.000 0.000 0.500
Zn 0.500 0.000 0.000
Li 0.000 0.500 0.000
```


Record 8
This record from Alexandria describes a geometry-optimized LiZn2AsP structure. The functional is GGA-PBE. Values from VASP.

* E: -2.617 eV/atom
* calculated formation energy: 139 kJ/mol of formula units
* magnetization: 0.00 μB/cell
* excess energy over the best structure of this formula in the dataset: 0.0 meV per atom
* mass density: 3.690 g cm⁻³
* space group: P4/mmm
* V: 109.7 Å³ per cell

```
&SYSTEM
  ibrav = 0, nat = 5, ntyp = 4
/
ATOMIC_SPECIES
P 30.97 P.upf
As 74.92 As.upf
Zn 65.41 Zn.upf
Li 6.94 Li.upf
CELL_PARAMETERS angstrom
4.687 0.000 0.000
0.000 4.993 0.000
0.000 0.000 4.687
ATOMIC_POSITIONS crystal
P 0.000 0.000 0.000
As 0.000 0.500 0.000
Zn 0.000 0.000 0.500
Zn 0.500 0.000 0.000
Li 0.500 0.500 0.500
```


Record 9
This record from Alexandria describes a geometry-optimized LiZnAsP2 structure. The functional is GGA-PBE. Values from VASP.

* E: -3.176 eV/atom
* calculated formation energy: 268 kJ/mol of formula units
* magnetization: 0.00 μB/cell
* mass density: 3.065 g cm⁻³
* space group: P4/mmm
* V: 113.4 Å³ per cell

```
&SYSTEM
  ibrav = 0, nat = 5, ntyp = 4
/
ATOMIC_SPECIES
P 30.97 P.upf
As 74.92 As.upf
Zn 65.41 Zn.upf
Li 6.94 Li.upf
CELL_PARAMETERS angstrom
-1.749 4.399 0.767
-4.182 -1.962 1.720
1.841 -0.041 4.428
ATOMIC_POSITIONS crystal
P 0.000 0.000 0.500
P 0.500 0.000 0.000
As 0.000 0.000 0.000
Zn 0.000 0.500 0.000
Li 0.500 0.500 0.500
```


Record 10
This record from Alexandria describes a geometry-optimized LiPa5As6 structure. The functional is GGA-PBE. Values from VASP.

* E: -7.401 eV/atom
* calculated formation energy: -1111 kJ/mol of formula units
* magnetization: 0.00 μB/cell
* mass density: 9.335 g cm⁻³
* space group: C2/m
* V: 286.7 Å³ per cell

```
&SYSTEM
  ibrav = 0, nat = 12, ntyp = 3
/
ATOMIC_SPECIES
As 74.92 As.upf
Pa 231.04 Pa.upf
Li 6.94 Li.upf
CELL_PARAMETERS angstrom
6.969 0.173 1.061
1.716 5.910 3.446
0.118 0.058 7.060
ATOMIC_POSITIONS crystal
As 0.755 0.082 0.327
As 0.245 0.591 0.327
As 0.246 0.246 0.000
As 0.754 0.754 0.000
As 0.755 0.409 0.673
As 0.245 0.918 0.673
Pa 0.500 0.166 0.668
Pa 0.000 0.333 0.333
Pa 0.500 0.500 0.000
Pa 0.000 0.667 0.667
Pa 0.500 0.834 0.332
Li 0.000 0.000 0.000
```


Record 11
This record from Alexandria describes a geometry-optimized LiPa3As4 structure. The functional is GGA-PBE. Values from VASP.

* E: -7.032 eV/atom
* calculated formation energy: -700 kJ/mol of formula units
* magnetization: 0.00 μB/cell
* mass density: 8.728 g cm⁻³
* space group: P2/c
* V: 380.4 Å³ per cell

```
&SYSTEM
  ibrav = 0, nat = 16, ntyp = 3
/
ATOMIC_SPECIES
As 74.92 As.upf
Pa 231.04 Pa.upf
Li 6.94 Li.upf
CELL_PARAMETERS angstrom
-4.316 4.570 -3.219
-3.781 -4.797 3.468
0.071 4.737 6.630
ATOMIC_POSITIONS crystal
As 0.993 0.244 0.631
As 0.501 0.249 0.877
As 0.493 0.244 0.369
As 0.001 0.249 0.123
As 0.999 0.751 0.877
As 0.507 0.756 0.631
As 0.499 0.751 0.123
As 0.007 0.756 0.369
Pa 0.750 0.000 0.373
Pa 0.250 0.000 0.627
Pa 0.750 0.500 0.623
Pa 0.750 0.500 0.126
Pa 0.250 0.500 0.377
Pa 0.250 0.500 0.874
Li 0.750 0.000 0.881
Li 0.250 0.000 0.119
```


Record 12
This record from Alexandria describes a geometry-optimized LiPaAsPd structure. The functional is GGA-PBE. Values from VASP.

* E: -5.899 eV/atom
* calculated formation energy: -226 kJ/mol of formula units
* magnetization: 0.42 μB/cell
* mass density: 9.029 g cm⁻³
* space group: F-43m
* V: 77.1 Å³ per cell

```
&SYSTEM
  ibrav = 0, nat = 4, ntyp = 4
/
ATOMIC_SPECIES
As 74.92 As.upf
Pa 231.04 Pa.upf
Pd 106.42 Pd.upf
Li 6.94 Li.upf
CELL_PARAMETERS angstrom
-0.852 -4.203 -2.106
-0.131 -3.998 2.613
-4.156 -2.240 0.733
ATOMIC_POSITIONS crystal
As 0.500 0.500 0.500
Pa 0.750 0.750 0.750
Pd 0.000 0.000 0.000
Li 0.250 0.250 0.250
```